V2Ni2Hg: optimized geometry, GGA-PBE.

The electronic total energy comes out at -5.84 eV/atom. The value obtained for the formation energy is 0.18 eV/atom. As for the symmetry: P4/mbm. The energy above the most stable polymorph in this dataset is 118 meV/atom. The spin magnetization comes out at 0.00 μB/cell.

Cell lengths 7.3457, 7.3457, 2.6318 Å; angles 90.00, 90.00, 90.00 degrees
Last column: nearest neighbours and their distance in Å.
Fractional coordinates of all 10 atoms:
Ni 0.1743 0.6743 0.5000  6 V 2.53-2.56, 2 Ni 2.63
Ni 0.6743 0.8257 0.5000  6 V 2.53-2.56, 2 Ni 2.63
Ni 0.8257 0.3257 0.5000  6 V 2.53-2.56, 2 Ni 2.63
Ni 0.3257 0.1743 0.5000  6 V 2.53-2.56, 2 Ni 2.63
Hg 0.0000 0.0000 0.0000  2 Hg 2.63
Hg 0.5000 0.5000 0.0000  2 Hg 2.63
V 0.3862 0.8862 0.0000  3 V 2.36-2.63, 6 Ni 2.53-2.56
V 0.8862 0.6138 0.0000  3 V 2.36-2.63, 6 Ni 2.53-2.56
V 0.6138 0.1138 0.0000  3 V 2.36-2.63, 6 Ni 2.53-2.56
V 0.1138 0.3862 0.0000  3 V 2.36-2.63, 6 Ni 2.53-2.56